(1)
Ac2VTc2N6 | PBE | optimized geometry

Summary:
- Energy relative to the elements, uncorrected: -0.55 eV per atom

abc: 5.9410 5.9410 16.1057
angles: 90.00 90.00 120.00
Space group R-3m (No. 166, hexagonal axes)
Unique sites:
Ac: 0.0000 0.0000 0.2214 (multiplicity 6)
V: 0.0000 0.0000 0.0000 (multiplicity 3)
Tc: 0.0000 0.0000 0.4290 (multiplicity 6)
N: 0.0219 0.5110 0.7404 (multiplicity 18)

---

(2)
Sr2PbOF | PBE | optimized geometry

Summary:
- Energy relative to the elements, uncorrected: -1.43 eV per atom

abc: 5.238 5.238 4.748
angles: 90.00 90.00 90.00
Space group P4/mmm (No. 123)
Unique sites:
Sr: 0.000 0.500 0.000 (multiplicity 2)
Pb: 0.000 0.000 0.500 (multiplicity 1)
O: 0.000 0.000 0.000 (multiplicity 1)
F: 0.500 0.500 0.500 (multiplicity 1)

---

(3)
Ba5NaP | PBE | optimized geometry

Summary:
- Formation energy: -0.2822 eV per atom

abc: 11.184 12.437 11.408
angles: 90.00 101.60 90.00
Space group C2/c (No. 15)
Unique sites:
Ba: 0.000 0.116 0.250 (multiplicity 4)
Ba: 0.116 0.220 0.619 (multiplicity 8)
Ba: 0.230 0.431 0.002 (multiplicity 8)
Na: 0.000 0.429 0.250 (multiplicity 4)
P: 0.000 0.000 0.000 (multiplicity 4)

---

| no. | final energy (eV/atom) | density (Mg/m³) |
| --- | --- | --- |
| 1 | -8.549 | 7.943 |
| 2 | -4.211 | 5.320 |
| 3 | -2.617 | 3.165 |